ZrGe3Ir: optimized geometry, PBE-GGA. Values from VASP.

Properties
* total magnetization: 0.0 μB per cell
* energy of formation: 1.3205 eV/atom
* density of states at the Fermi level: 5.060 states/eV per cell

Quantum ESPRESSO input file:
```
&SYSTEM
  ibrav = 0, nat = 5, ntyp = 3
/
ATOMIC_SPECIES
Ge 72.64 Ge.upf
Zr 91.22 Zr.upf
Ir 192.22 Ir.upf
CELL_PARAMETERS angstrom
5.0370 0.0000 0.0000
0.0000 5.0370 0.0000
0.0000 0.0000 5.0370
ATOMIC_POSITIONS crystal
Ge 0.0000 0.5000 0.0000
Ge 0.5000 0.0000 0.0000
Ge 0.0000 0.0000 0.5000
Zr 0.0000 0.0000 0.0000
Ir 0.5000 0.5000 0.5000
```